# 1
An optimized crystal structure of Cd2InSi, computed with GGA-PBE.

Computed properties:
- SG: R-3m (166)
- Formation energy (no corrections): 0.299 eV per atom
- Crystal system: trigonal

abc: 10.3944 10.3944 10.3944
angles: 17.50 17.50 17.50
Last column: nearest neighbours and their distance in Å.
Atoms (fractional coordinates):
1 Cd 0.4962 0.4962 0.4962  3 Si 3.05, 6 Cd 3.16, 3 In 3.24
2 Cd 0.0038 0.0038 0.0038  3 Si 3.05, 6 Cd 3.16, 3 In 3.24
3 In 0.2500 0.2500 0.2500  6 In 3.16, 6 Cd 3.24
4 Si 0.7500 0.7500 0.7500  6 Cd 3.05, 6 Si 3.16



# 2
An optimized crystal structure of In2AgBr6, computed with GGA-PBE.

Computed properties:
- SG: C2/c (15)
- Formation energy (no corrections): -0.612 eV per atom
- Crystal system: monoclinic

abc: 8.7044 10.5600 10.5600
angles: 84.45 67.85 67.85
Last column: nearest neighbours and their distance in Å.
Atoms (fractional coordinates):
1 Br 0.4917 0.3568 0.3870  2 In 2.70-2.72
2 Br 0.5083 0.6432 0.6130  2 In 2.70-2.72
3 Br 0.7980 0.9125 0.3842  1 In 2.62, 1 Ag 2.70
4 Br 0.0083 0.6130 0.6432  2 In 2.70-2.72
5 Br 0.0574 0.8211 0.9601  1 In 2.58, 1 Ag 2.77
6 Br 0.7020 0.6158 0.0875  1 In 2.62, 1 Ag 2.70
7 Br 0.4426 0.0399 0.1789  1 In 2.58, 1 Ag 2.77
8 Br 0.9426 0.1789 0.0399  1 In 2.58, 1 Ag 2.77
9 Br 0.9917 0.3870 0.3568  2 In 2.70-2.72
10 Br 0.5574 0.9601 0.8211  1 In 2.58, 1 Ag 2.77
11 Br 0.2020 0.0875 0.6158  1 In 2.62, 1 Ag 2.70
12 Br 0.2980 0.3842 0.9125  1 In 2.62, 1 Ag 2.70
13 In 0.7948 0.3879 0.2103  4 Br 2.58-2.72
14 In 0.2052 0.6121 0.7897  4 Br 2.58-2.72
15 In 0.2948 0.2103 0.3879  4 Br 2.58-2.72
16 In 0.7052 0.7897 0.6121  4 Br 2.58-2.72
17 Ag 0.2500 0.1757 0.8243  4 Br 2.70-2.77
18 Ag 0.7500 0.8243 0.1757  4 Br 2.70-2.77



# 3
An optimized crystal structure of Ac2InRh, computed with GGA-PBE.

Computed properties:
- Energy relative to the elements: -0.503 eV per atom
- SG: Pnma (62)
- Crystal system: orthorhombic

abc: 5.7838 7.4441 12.1720
angles: 90.00 90.00 90.00
Last column: nearest neighbours and their distance in Å.
Atoms (fractional coordinates):
1 Ac 0.2500 0.5464 0.2618  2 Rh 2.88-2.91
2 Ac 0.7500 0.3035 0.0536  3 Rh 2.90-3.20
3 Ac 0.7500 0.9536 0.7618  2 Rh 2.88-2.91
4 Ac 0.7500 0.4536 0.7382  2 Rh 2.88-2.91
5 Ac 0.7500 0.8035 0.4464  3 Rh 2.90-3.20
6 Ac 0.2500 0.6965 0.9464  3 Rh 2.90-3.20
7 Ac 0.2500 0.1965 0.5536  3 Rh 2.90-3.20
8 Ac 0.2500 0.0464 0.2382  2 Rh 2.88-2.91
9 Rh 0.2500 0.8155 0.4313  1 In 2.74, 4 Ac 2.88-2.91
10 Rh 0.2500 0.3155 0.0687  1 In 2.74, 4 Ac 2.88-2.91
11 Rh 0.7500 0.1845 0.5687  1 In 2.74, 4 Ac 2.88-2.91
12 Rh 0.7500 0.6845 0.9313  1 In 2.74, 4 Ac 2.88-2.91
13 In 0.2500 0.6982 0.6447  1 Rh 2.74
14 In 0.7500 0.3018 0.3553  1 Rh 2.74
15 In 0.2500 0.1982 0.8553  1 Rh 2.74
16 In 0.7500 0.8018 0.1447  1 Rh 2.74



# 4
An optimized crystal structure of Ba2NaZr, computed with GGA-PBE.

Computed properties:
- Energy relative to the elements: 0.610 eV per atom
- SG: Fm-3m (225)
- Crystal system: cubic

abc: 6.1497 6.1497 6.1497
angles: 60.00 60.00 60.00
Last column: nearest neighbours and their distance in Å.
Atoms (fractional coordinates):
1 Zr 0.5000 0.5000 0.5000  8 Ba 3.77
2 Na 0.0000 0.0000 0.0000  8 Ba 3.77
3 Ba 0.7500 0.7500 0.7500  4 Na 3.77, 4 Zr 3.77
4 Ba 0.2500 0.2500 0.2500  4 Zr 3.77, 4 Na 3.77



# 5
An optimized crystal structure of PrDy3Tm2, computed with GGA-PBE.

Computed properties:
- Energy relative to the elements: -0.002 eV per atom
- SG: P-1 (2)
- Crystal system: triclinic

abc: 7.1540 10.1604 7.1477
angles: 79.96 119.85 121.81
Last column: nearest neighbours and their distance in Å.
Atoms (fractional coordinates):
1 Pr 0.7471 0.9981 0.7493  3 Tm 3.53-3.56, 7 Dy 3.54-3.59, 2 Pr 3.57-3.60
2 Pr 0.2529 0.0019 0.2507  3 Tm 3.53-3.56, 7 Dy 3.54-3.59, 2 Pr 3.57-3.60
3 Dy 0.1965 0.3360 0.6390  6 Tm 3.49-3.59, 5 Dy 3.49-3.58, 1 Pr 3.56
4 Dy 0.8035 0.6640 0.3610  6 Tm 3.49-3.59, 5 Dy 3.49-3.58, 1 Pr 3.56
5 Dy 0.7487 0.9991 0.2492  3 Tm 3.54, 5 Dy 3.54-3.59, 4 Pr 3.57-3.59
6 Dy 0.2513 0.0009 0.7508  3 Tm 3.54, 5 Dy 3.54-3.59, 4 Pr 3.57-3.59
7 Dy 0.1970 0.3370 0.1393  6 Tm 3.47-3.59, 4 Dy 3.49-3.58, 2 Pr 3.54-3.57
8 Dy 0.8030 0.6630 0.8607  6 Tm 3.47-3.59, 4 Dy 3.49-3.58, 2 Pr 3.54-3.57
9 Tm 0.3019 0.6632 0.3597  7 Dy 3.47-3.59, 3 Tm 3.48-3.58, 2 Pr 3.54-3.56
10 Tm 0.6981 0.3368 0.6404  7 Dy 3.47-3.59, 3 Tm 3.48-3.58, 2 Pr 3.54-3.56
11 Tm 0.6982 0.3360 0.1394  3 Tm 3.48-3.58, 8 Dy 3.48-3.59, 1 Pr 3.53
12 Tm 0.3018 0.6640 0.8606  3 Tm 3.48-3.58, 8 Dy 3.48-3.59, 1 Pr 3.53



# 6
An optimized crystal structure of TaZn2, computed with GGA-PBE.

Computed properties:
- Energy relative to the elements: 0.092 eV per atom
- SG: Cmcm (63)
- Crystal system: orthorhombic

abc: 6.4124 6.4124 3.8593
angles: 90.00 90.00 143.19
Last column: nearest neighbours and their distance in Å.
Atoms (fractional coordinates):
1 Ta 0.4192 0.5808 0.2500  2 Ta 2.75, 10 Zn 2.80-2.88
2 Ta 0.5808 0.4192 0.7500  2 Ta 2.75, 10 Zn 2.80-2.88
3 Zn 0.2470 0.7530 0.7500  8 Zn 2.73-2.85, 4 Ta 2.85-2.86
4 Zn 0.9121 0.0879 0.7500  6 Zn 2.73-2.88, 6 Ta 2.80-2.88
5 Zn 0.0879 0.9121 0.2500  6 Zn 2.73-2.88, 6 Ta 2.80-2.88
6 Zn 0.7530 0.2470 0.2500  8 Zn 2.73-2.85, 4 Ta 2.85-2.86



# 7
An optimized crystal structure of CoRu2Se, computed with GGA-PBE.

Computed properties:
- SG: P4/mmm (123)
- Formation energy (no corrections): 0.307 eV per atom
- Crystal system: tetragonal

abc: 2.9929 2.9913 6.1977
angles: 90.00 90.00 90.00
Last column: nearest neighbours and their distance in Å.
Atoms (fractional coordinates):
1 Co 0.5000 0.5000 0.7500  8 Ru 2.61
2 Se 0.5000 0.5000 0.2500  8 Ru 2.63
3 Ru 0.0000 0.0000 0.9970  4 Co 2.61, 4 Se 2.63
4 Ru 0.0000 0.0000 0.5030  4 Co 2.61, 4 Se 2.63



# 8
An optimized crystal structure of PmBe2F8, computed with GGA-PBE.

Computed properties:
- SG: C2/m (12)
- Formation energy (no corrections): -3.132 eV per atom
- Crystal system: monoclinic

abc: 6.0205 5.5221 5.5221
angles: 48.42 69.03 69.03
Last column: nearest neighbours and their distance in Å.
Atoms (fractional coordinates):
1 F 0.4029 0.8361 0.8361  1 Be 1.52
2 F 0.1703 0.3732 0.3732  1 Be 1.55
3 F 0.2284 0.8859 0.3684  1 Be 1.60
4 F 0.7716 0.6316 0.1141  1 Be 1.60
5 F 0.2284 0.3684 0.8859  1 Be 1.60
6 F 0.8297 0.6268 0.6268  1 Be 1.55
7 F 0.5971 0.1639 0.1639  1 Be 1.52
8 F 0.7716 0.1141 0.6316  1 Be 1.60
9 Pm 0.0000 0.0000 0.0000  10 F 2.34-2.60
10 Be 0.6758 0.7914 0.7914  4 F 1.52-1.60
11 Be 0.3242 0.2086 0.2086  4 F 1.52-1.60



# 9
An optimized crystal structure of YScCdNi, computed with GGA-PBE.

Computed properties:
- Energy relative to the elements: -0.257 eV per atom
- SG: F-43m (216)
- Crystal system: cubic

abc: 4.9252 4.9252 4.9252
angles: 60.00 60.00 60.00
Last column: nearest neighbours and their distance in Å.
Atoms (fractional coordinates):
1 Cd 0.0000 0.0000 0.0000  4 Y 3.02, 4 Sc 3.02
2 Ni 0.5000 0.5000 0.5000  4 Sc 3.02, 4 Y 3.02
3 Sc 0.2500 0.2500 0.2500  4 Cd 3.02, 4 Ni 3.02
4 Y 0.7500 0.7500 0.7500  4 Ni 3.02, 4 Cd 3.02



# 10
An optimized crystal structure of SmYHo5Th2, computed with GGA-PBE.

Computed properties:
- Energy relative to the elements: 0.332 eV per atom
- SG: I4/mcm (140)
- Crystal system: tetragonal

abc: 8.7466 8.7466 9.8894
angles: 116.25 116.25 90.00
Last column: nearest neighbours and their distance in Å.
Atoms (fractional coordinates):
1 Sm 0.2500 0.7500 0.5000  4 Ho 3.10
2 Sm 0.7500 0.2500 0.5000  4 Ho 3.10
3 Th 0.3806 0.8806 0.0000  1 Th 2.95, 2 Ho 3.02
4 Th 0.1194 0.3806 0.0000  1 Th 2.95, 2 Ho 3.02
5 Th 0.6194 0.1194 0.0000  1 Th 2.95, 2 Ho 3.02
6 Th 0.8806 0.6194 0.0000  1 Th 2.95, 2 Ho 3.02
7 Y 0.7500 0.7500 0.5000  10 Ho 3.57-3.86
8 Y 0.2500 0.2500 0.5000  10 Ho 3.57-3.86
9 Ho 0.5694 0.6519 0.7213  1 Th 3.02, 1 Sm 3.10
10 Ho 0.1519 0.0694 0.7213  1 Th 3.02, 1 Sm 3.10
11 Ho 0.9306 0.4306 0.2787  1 Th 3.02, 1 Sm 3.10
12 Ho 0.3481 0.8481 0.2787  1 Th 3.02, 1 Sm 3.10
13 Ho 0.0000 0.0000 0.0000  4 Th 3.49, 8 Ho 3.80, 2 Y 3.86
14 Ho 0.8481 0.9306 0.2787  1 Th 3.02, 1 Sm 3.10
15 Ho 0.5000 0.5000 0.0000  4 Th 3.49, 8 Ho 3.80, 2 Y 3.86
16 Ho 0.6519 0.1519 0.7213  1 Th 3.02, 1 Sm 3.10
17 Ho 0.4306 0.3481 0.2787  1 Th 3.02, 1 Sm 3.10
18 Ho 0.0694 0.5694 0.7213  1 Th 3.02, 1 Sm 3.10



# 11
An optimized crystal structure of NaTiPt2, computed with GGA-PBE.

Computed properties:
- Energy relative to the elements: -0.227 eV per atom
- SG: I-42d (122)
- Crystal system: tetragonal

abc: 7.2265 7.2265 5.8351
angles: 51.74 51.74 90.00
Last column: nearest neighbours and their distance in Å.
Atoms (fractional coordinates):
1 Ti 0.7500 0.2500 0.5000  4 Pt 2.47
2 Ti 0.0000 0.0000 0.0000  4 Pt 2.47
3 Pt 0.3750 0.3375 0.7500  2 Ti 2.47
4 Pt 0.0875 0.6250 0.2500  2 Ti 2.47
5 Pt 0.8750 0.9125 0.7500  2 Ti 2.47
6 Pt 0.6625 0.1250 0.2500  2 Ti 2.47
7 Na 0.2500 0.7500 0.5000  2 Ti 2.82, 4 Pt 2.84
8 Na 0.5000 0.5000 0.0000  2 Ti 2.82, 4 Pt 2.84



# 12
An optimized crystal structure of Cr3GeSb, computed with GGA-PBE.

Computed properties:
- SG: Pm-3m (221)
- Formation energy (no corrections): 1.191 eV per atom
- Crystal system: cubic

abc: 5.0300 5.0300 5.0300
angles: 90.00 90.00 90.00
Last column: nearest neighbours and their distance in Å.
Atoms (fractional coordinates):
1 Sb 0.0000 0.0000 0.0000  6 Cr 2.52
2 Cr 0.0000 0.5000 0.0000  2 Sb 2.52
3 Cr 0.5000 0.0000 0.0000  2 Sb 2.52
4 Cr 0.0000 0.0000 0.5000  2 Sb 2.52
5 Ge 0.5000 0.5000 0.5000  12 Cr 3.56



# 13
An optimized crystal structure of ScUGa4, computed with GGA-PBE.

Computed properties:
- Energy relative to the elements: -0.346 eV per atom
- SG: Pmmm (47)
- Crystal system: orthorhombic

abc: 3.1092 4.4871 8.0020
angles: 90.00 90.00 90.00
Last column: nearest neighbours and their distance in Å.
Atoms (fractional coordinates):
1 Ga 0.9994 0.5000 0.8226  3 Ga 2.60-2.84
2 Ga 0.0006 0.5000 0.1774  3 Ga 2.60-2.84
3 Ga 0.0001 0.0000 0.6589  3 Ga 2.54-2.60
4 Ga 0.9999 0.0000 0.3411  3 Ga 2.54-2.60
5 U 0.5000 0.0000 0.0000  12 Ga 3.08-3.14, 2 U 3.11
6 Sc 0.5000 0.5000 0.5000  12 Ga 3.01, 2 Sc 3.11



# 14
An optimized crystal structure of InTcNi, computed with GGA-PBE.

Computed properties:
- Energy relative to the elements: 0.084 eV per atom
- SG: C2/m (12)
- Crystal system: monoclinic

abc: 7.5929 2.9503 9.5743
angles: 90.00 119.83 90.00
Last column: nearest neighbours and their distance in Å.
Atoms (fractional coordinates):
1 Ni 0.1610 0.5000 0.1451  2 Tc 2.54, 5 In 2.61-2.78, 1 Ni 2.63
2 Ni 0.1610 0.0000 0.6451  2 Tc 2.54, 5 In 2.61-2.78, 1 Ni 2.63
3 Ni 0.8390 0.0000 0.3549  2 Tc 2.54, 5 In 2.61-2.78, 1 Ni 2.63
4 Ni 0.8390 0.5000 0.8549  2 Tc 2.54, 5 In 2.61-2.78, 1 Ni 2.63
5 In 0.8154 0.0000 0.0736  5 Ni 2.61-2.78
6 In 0.8154 0.5000 0.5736  5 Ni 2.61-2.78
7 In 0.1846 0.5000 0.4264  5 Ni 2.61-2.78
8 In 0.1846 0.0000 0.9264  5 Ni 2.61-2.78
9 Tc 0.4534 0.0000 0.3390  2 Ni 2.54, 3 Tc 2.60-2.80
10 Tc 0.5466 0.5000 0.1610  2 Ni 2.54, 3 Tc 2.60-2.80
11 Tc 0.5466 0.0000 0.6610  2 Ni 2.54, 3 Tc 2.60-2.80
12 Tc 0.4534 0.5000 0.8390  2 Ni 2.54, 3 Tc 2.60-2.80



# 15
An optimized crystal structure of HfAgC3, computed with GGA-PBE.

Computed properties:
- Energy relative to the elements: 2.538 eV per atom
- SG: Pm-3m (221)
- Crystal system: cubic

abc: 4.0319 4.0319 4.0319
angles: 90.00 90.00 90.00
Last column: nearest neighbours and their distance in Å.
Atoms (fractional coordinates):
1 Ag 0.0000 0.0000 0.0000  6 C 2.02
2 C 0.5000 0.0000 0.0000  2 Ag 2.02
3 C 0.0000 0.5000 0.0000  2 Ag 2.02
4 C 0.0000 0.0000 0.5000  2 Ag 2.02
5 Hf 0.5000 0.5000 0.5000  12 C 2.85



# 16
An optimized crystal structure of LaFe2Te, computed with GGA-PBE.

Computed properties:
- SG: P4/mmm (123)
- Formation energy (no corrections): 0.167 eV per atom
- Crystal system: tetragonal

abc: 3.6816 3.6818 6.3374
angles: 90.00 90.00 90.00
Last column: nearest neighbours and their distance in Å.
Atoms (fractional coordinates):
1 Fe 0.0000 0.0000 0.9376  1 Fe 2.38
2 Fe 0.0000 0.0000 0.5624  1 Fe 2.38
3 La 0.5000 0.5000 0.2500  2 Te 3.17, 8 Fe 3.27
4 Te 0.5000 0.5000 0.7500  8 Fe 2.86, 2 La 3.17



# 17
An optimized crystal structure of Sm3Er4Tm4, computed with GGA-PBE.

Computed properties:
- Energy relative to the elements: 0.160 eV per atom
- SG: Amm2 (38)
- Crystal system: orthorhombic

abc: 5.6291 6.6035 10.4650
angles: 90.00 90.00 115.23
Last column: nearest neighbours and their distance in Å.
Atoms (fractional coordinates):
1 Sm 0.4079 0.8158 0.7082  5 Tm 3.31-3.65, 4 Er 3.47-3.57, 1 Sm 3.56
2 Sm 0.4079 0.8158 0.2918  5 Tm 3.31-3.65, 4 Er 3.47-3.57, 1 Sm 3.56
3 Sm 0.2545 0.5090 0.0000  7 Er 3.55-3.71, 2 Sm 3.56, 5 Tm 3.58-3.69
4 Er 0.7520 0.5041 0.2132  4 Tm 3.24-3.44, 2 Er 3.31-3.42, 4 Sm 3.47-3.59
5 Er 0.9571 0.9142 0.0000  2 Tm 3.05, 2 Er 3.31
6 Er 0.8898 0.7796 0.5000  3 Tm 3.26-3.33, 2 Er 3.42, 4 Sm 3.57
7 Er 0.7520 0.5041 0.7868  4 Tm 3.24-3.44, 2 Er 3.31-3.42, 4 Sm 3.47-3.59
8 Tm 0.5551 0.1102 0.0000  4 Er 3.05-3.24
9 Tm 0.1026 0.2053 0.2944  4 Er 3.33-3.54, 2 Tm 3.55, 4 Sm 3.58-3.65
10 Tm 0.1026 0.2053 0.7056  4 Er 3.33-3.54, 2 Tm 3.55, 4 Sm 3.58-3.65
11 Tm 0.6169 0.2337 0.5000  3 Er 3.26-3.41, 2 Sm 3.31, 4 Tm 3.55



# 18
An optimized crystal structure of Th5BiTe4, computed with GGA-PBE.

Computed properties:
- SG: P4/mmm (123)
- Formation energy (no corrections): -0.987 eV per atom
- Crystal system: tetragonal

abc: 3.8704 3.8704 19.3643
angles: 90.00 90.00 90.00
Last column: nearest neighbours and their distance in Å.
Atoms (fractional coordinates):
1 Th 0.5000 0.5000 0.5000  8 Te 3.34
2 Th 0.5000 0.5000 0.6991  8 Te 3.33-3.35
3 Th 0.5000 0.5000 0.3009  8 Te 3.33-3.35
4 Th 0.5000 0.5000 0.8996  4 Bi 3.36, 4 Te 3.38
5 Th 0.5000 0.5000 0.1004  4 Bi 3.36, 4 Te 3.38
6 Te 0.0000 0.0000 0.5993  8 Th 3.34-3.35
7 Te 0.0000 0.0000 0.7973  8 Th 3.33-3.38
8 Te 0.0000 0.0000 0.2027  8 Th 3.33-3.38
9 Te 0.0000 0.0000 0.4007  8 Th 3.34-3.35
10 Bi 0.0000 0.0000 0.0000  8 Th 3.36



# 19
An optimized crystal structure of TbPr3Dy2Se6, computed with GGA-PBE.

Computed properties:
- SG: C2/m (12)
- Formation energy (no corrections): -1.808 eV per atom
- Crystal system: monoclinic

abc: 7.1681 7.1681 7.3540
angles: 99.34 99.34 120.27
Last column: nearest neighbours and their distance in Å.
Atoms (fractional coordinates):
1 Se 0.9224 0.5878 0.7667  2 Dy 2.88, 1 Tb 2.89, 3 Pr 3.02-3.03
2 Se 0.2571 0.2571 0.7672  2 Dy 2.88, 1 Tb 2.89, 3 Pr 3.01-3.02
3 Se 0.5878 0.9224 0.7667  2 Dy 2.88, 1 Tb 2.89, 3 Pr 3.02-3.03
4 Se 0.7429 0.7429 0.2328  2 Dy 2.88, 1 Tb 2.89, 3 Pr 3.01-3.02
5 Se 0.4122 0.0776 0.2333  2 Dy 2.88, 1 Tb 2.89, 3 Pr 3.02-3.03
6 Se 0.0776 0.4122 0.2333  2 Dy 2.88, 1 Tb 2.89, 3 Pr 3.02-3.03
7 Dy 0.3335 0.6665 0.0000  6 Se 2.88
8 Dy 0.6665 0.3335 0.0000  6 Se 2.88
9 Pr 0.1659 0.8341 0.5000  6 Se 3.02
10 Pr 0.8341 0.1659 0.5000  6 Se 3.02
11 Pr 0.5000 0.5000 0.5000  6 Se 3.01-3.03
12 Tb 0.0000 0.0000 0.0000  6 Se 2.89



# 20
An optimized crystal structure of SnTeAuN2, computed with GGA-PBE.

Computed properties:
- SG: P4/mmm (123)
- Formation energy (no corrections): 1.541 eV per atom
- Crystal system: tetragonal

abc: 4.3023 4.3023 5.8524
angles: 90.00 90.00 90.00
Last column: nearest neighbours and their distance in Å.
Atoms (fractional coordinates):
1 Au 0.0000 0.0000 0.0000  4 N 2.15
2 Sn 0.5000 0.5000 0.5000  4 Te 3.04
3 N 0.5000 0.0000 0.0000  2 Au 2.15
4 N 0.0000 0.5000 0.0000  2 Au 2.15
5 Te 0.0000 0.0000 0.5000  2 Au 2.93, 4 Sn 3.04